No. 1
VASP calculation (PBE-GGA) on crystalline SbAsPd2 at its relaxed geometry.

The structure in POSCAR format:
```
SbAsPd2
1.0
4.581 0.000 0.000
0.000 4.581 0.000
0.000 0.000 3.458
Sb As Pd
1 1 2
direct
0.000 0.000 0.000
0.500 0.500 0.000
0.000 0.500 0.500
0.500 0.000 0.500
```

* total energy: -5.011 eV/atom
* E_form (uncorrected): -0.22 eV/atom
* M_tot: 0.00 μB per formula unit
* V: 73 Å³/cell
* space-group type: P4/mmm (123)
* ΔE to the lowest computed polymorph: 145 meV per atom



No. 2
VASP calculation (PBE-GGA) on crystalline SbAsPd2 at its relaxed geometry.

The structure in POSCAR format:
```
SbAsPd2
1.0
5.754 0.000 0.000
0.000 16.027 0.000
0.000 0.000 6.663
Sb As Pd
8 8 16
direct
0.198 0.187 0.089
0.198 0.313 0.589
0.302 0.687 0.089
0.302 0.813 0.589
0.698 0.187 0.411
0.698 0.313 0.911
0.802 0.687 0.411
0.802 0.813 0.911
0.184 0.557 0.572
0.184 0.943 0.072
0.316 0.057 0.572
0.316 0.443 0.072
0.684 0.557 0.928
0.684 0.943 0.428
0.816 0.057 0.928
0.816 0.443 0.428
0.003 0.557 0.190
0.003 0.943 0.690
0.011 0.166 0.708
0.011 0.334 0.208
0.489 0.666 0.708
0.489 0.834 0.208
0.497 0.057 0.190
0.497 0.443 0.690
0.503 0.557 0.310
0.503 0.943 0.810
0.511 0.166 0.792
0.511 0.334 0.292
0.989 0.666 0.792
0.989 0.834 0.292
0.997 0.057 0.310
0.997 0.443 0.810
```

* total energy: -5.156 eV/atom
* E_form (uncorrected): -0.37 eV/atom
* M_tot: 0.00 μB per formula unit
* V: 614 Å³/cell
* space-group type: Pbca (61)
* ΔE to the lowest computed polymorph: 0 meV per atom



No. 3
VASP calculation (PBE-GGA) on crystalline SbAs2Pd at its relaxed geometry.

The structure in POSCAR format:
```
SbAs2Pd
1.0
1.832 1.058 8.374
-1.832 1.058 8.374
0.000 -2.116 8.374
Sb As Pd
1 2 1
direct
0.000 0.000 0.000
0.113 0.113 0.113
0.887 0.887 0.887
0.500 0.500 0.500
```

* total energy: -4.615 eV/atom
* E_form (uncorrected): 0.04 eV/atom
* M_tot: 0.00 μB per formula unit
* V: 97 Å³/cell
* space-group type: R-3m (166)



No. 4
VASP calculation (PBE-GGA) on crystalline SbAsPd at its relaxed geometry.

The structure in POSCAR format:
```
SbAsPd
1.0
6.323 0.000 0.000
0.000 6.323 0.000
0.000 0.000 6.323
Sb As Pd
4 4 4
direct
0.121 0.379 0.621
0.379 0.621 0.121
0.621 0.121 0.379
0.879 0.879 0.879
0.124 0.124 0.124
0.376 0.876 0.624
0.624 0.376 0.876
0.876 0.624 0.376
0.010 0.990 0.490
0.490 0.010 0.990
0.510 0.510 0.510
0.990 0.490 0.010
```

* total energy: -4.988 eV/atom
* E_form (uncorrected): -0.33 eV/atom
* M_tot: 0.00 μB per formula unit
* V: 253 Å³/cell
* space-group type: P2_13 (198)
* ΔE to the lowest computed polymorph: 0 meV per atom



No. 5
VASP calculation (PBE-GGA) on crystalline SbAsPd2 at its relaxed geometry.

The structure in POSCAR format:
```
SbAsPd2
1.0
3.269 0.000 0.000
0.000 3.269 0.000
0.000 0.000 6.801
Sb As Pd
1 1 2
direct
0.000 0.000 0.000
0.000 0.000 0.500
0.500 0.500 0.280
0.500 0.500 0.720
```

* total energy: -5.011 eV/atom
* E_form (uncorrected): -0.22 eV/atom
* M_tot: 0.00 μB per formula unit
* V: 73 Å³/cell
* space-group type: P4/mmm (123)
* ΔE to the lowest computed polymorph: 145 meV per atom



No. 6
VASP calculation (PBE-GGA) on crystalline SbAs2Pd at its relaxed geometry.

The structure in POSCAR format:
```
SbAs2Pd
1.0
5.747 -1.853 0.000
5.747 1.853 0.000
-1.349 0.000 3.996
Sb As Pd
1 2 1
direct
0.000 0.000 0.000
0.268 0.268 0.322
0.732 0.732 0.678
0.500 0.500 0.500
```

* total energy: -4.830 eV/atom
* E_form (uncorrected): -0.18 eV/atom
* M_tot: 0.00 μB per formula unit
* V: 85 Å³/cell
* space-group type: C2/m (12)



No. 7
VASP calculation (PBE-GGA) on crystalline ScSbAs2Pd at its relaxed geometry.

The structure in POSCAR format:
```
ScSbAs2Pd
1.0
4.781 0.000 0.000
0.000 4.781 0.000
0.000 0.000 5.259
Sc Sb As Pd
1 1 2 1
direct
0.000 0.000 0.000
0.500 0.500 0.000
0.000 0.500 0.500
0.500 0.000 0.500
0.000 0.000 0.500
```

* total energy: -4.934 eV/atom
* E_form (uncorrected): 0.06 eV/atom
* M_tot: 0.00 μB per formula unit
* V: 120 Å³/cell
* space-group type: P4/mmm (123)



No. 8
VASP calculation (PBE-GGA) on crystalline SbAs2PdSe at its relaxed geometry.

The structure in POSCAR format:
```
SbAs2PdSe
1.0
4.868 0.000 0.000
0.000 4.868 0.000
0.000 0.000 5.040
Sb As Pd Se
1 2 1 1
direct
0.000 0.000 0.000
0.000 0.500 0.500
0.500 0.000 0.500
0.500 0.500 0.500
0.500 0.500 0.000
```

* total energy: -3.968 eV/atom
* E_form (uncorrected): 0.45 eV/atom
* M_tot: 0.11 μB per formula unit
* V: 119 Å³/cell
* space-group type: P4/mmm (123)
* ΔE to the lowest computed polymorph: 0 meV per atom



No. 9
VASP calculation (PBE-GGA) on crystalline SiSbAsPd2 at its relaxed geometry.

The structure in POSCAR format:
```
SiSbAsPd2
1.0
4.613 0.000 0.000
0.000 4.613 0.000
0.000 0.000 4.910
Si Sb As Pd
1 1 1 2
direct
0.000 0.000 0.000
0.500 0.500 0.500
0.000 0.000 0.500
0.000 0.500 0.000
0.500 0.000 0.000
```

* total energy: -4.680 eV/atom
* E_form (uncorrected): 0.24 eV/atom
* M_tot: 0.00 μB per formula unit
* V: 105 Å³/cell
* space-group type: P4/mmm (123)



No. 10
VASP calculation (PBE-GGA) on crystalline SmSb2As2Pd7 at its relaxed geometry.

The structure in POSCAR format:
```
SmSb2As2Pd7
1.0
-2.000 2.000 15.428
2.000 -2.000 15.428
2.000 2.000 -15.428
Sm Sb As Pd
1 2 2 7
direct
0.000 0.000 0.000
0.214 0.214 0.000
0.786 0.786 0.000
0.380 0.380 0.000
0.620 0.620 0.000
0.072 0.572 0.500
0.301 0.301 0.000
0.428 0.928 0.500
0.500 0.500 0.000
0.572 0.072 0.500
0.699 0.699 0.000
0.928 0.428 0.500
```

* total energy: -5.362 eV/atom
* E_form (uncorrected): -0.48 eV/atom
* M_tot: 0.00 μB per formula unit
* V: 247 Å³/cell
* space-group type: I4/mmm (139)



No. 11
VASP calculation (PBE-GGA) on crystalline SnSb2As2Pd7 at its relaxed geometry.

The structure in POSCAR format:
```
SnSb2As2Pd7
1.0
2.787 -2.787 0.000
2.787 2.787 0.000
-2.758 0.000 15.333
Sn Sb As Pd
1 2 2 7
direct
0.000 0.000 0.000
0.213 0.213 0.427
0.787 0.787 0.573
0.384 0.384 0.763
0.616 0.616 0.237
0.068 0.568 0.139
0.302 0.302 0.603
0.432 0.932 0.861
0.500 0.500 0.000
0.568 0.068 0.139
0.698 0.698 0.397
0.932 0.432 0.861
```

* total energy: -5.221 eV/atom
* E_form (uncorrected): -0.40 eV/atom
* M_tot: 0.00 μB per formula unit
* V: 238 Å³/cell
* space-group type: C2/m (12)



No. 12
VASP calculation (PBE-GGA) on crystalline SrSbAs2Pd5 at its relaxed geometry.

The structure in POSCAR format:
```
SrSbAs2Pd5
1.0
4.322 0.000 0.000
0.000 4.322 0.000
0.000 0.000 10.549
Sr Sb As Pd
1 1 2 5
direct
0.000 0.000 0.000
0.000 0.000 0.500
0.500 0.500 0.226
0.500 0.500 0.774
0.000 0.500 0.345
0.000 0.500 0.655
0.500 0.000 0.345
0.500 0.000 0.655
0.500 0.500 0.000
```

* total energy: -5.056 eV/atom
* E_form (uncorrected): -0.49 eV/atom
* M_tot: 0.00 μB per formula unit
* V: 197 Å³/cell
* space-group type: P4/mmm (123)